[1]
This record from Alexandria via LeMat-Bulk describes a geometry-optimized BTeS2Cl structure. The functional is PBE-GGA.

Values from the calculation:
Offset from the most stable computed form, meV per atom: 0
E_form (uncorrected), eV per atom: 0.56
Crystal system: tetragonal
Total energy, eV/atom: -3.428
Mass density, g/cm3: 4.754

Unit cell a=4.455 b=4.455 c=4.188 alpha=90.00 beta=90.00 gamma=90.00
Fractional positions:
B1 0.000 0.000 0.000
Te1 0.500 0.500 0.500
S1 0.000 0.500 0.000
S2 0.500 0.000 0.000
Cl1 0.000 0.000 0.500


[2]
This record from Alexandria via LeMat-Bulk describes a geometry-optimized HgAsS2Br structure. The functional is PBE-GGA.

Values from the calculation:
E_form (uncorrected), eV per atom: -0.21
Crystal system: monoclinic
Total energy, eV/atom: -3.183
Mass density, g/cm3: 4.548

Unit cell a=6.875 b=5.174 c=8.633 alpha=90.00 beta=93.99 gamma=90.00
Fractional positions:
Hg1 0.239 0.250 0.496
Hg2 0.761 0.750 0.504
As1 0.123 0.250 0.908
As2 0.877 0.750 0.092
S1 0.025 0.750 0.337
S2 0.154 0.750 0.970
S3 0.846 0.250 0.030
S4 0.975 0.250 0.663
Br1 0.492 0.750 0.686
Br2 0.508 0.250 0.314


[3]
This record from Alexandria via LeMat-Bulk describes a geometry-optimized TbGa9Rh2 structure. The functional is PBE-GGA.

Values from the calculation:
Formation enthalpy at 0 K, eV/atom: -0.366
Crystal system: monoclinic
Total energy, eV/atom: -4.247
Mass density, g/cm3: 7.852

Unit cell a=8.311 b=8.311 c=6.789 alpha=107.72 beta=107.72 gamma=76.04
Fractional positions:
Tb1 0.207 0.207 0.299
Tb2 0.793 0.793 0.701
Ga1 0.040 0.666 0.421
Ga2 0.071 0.820 0.133
Ga3 0.180 0.929 0.867
Ga4 0.182 0.569 0.781
Ga5 0.276 0.276 0.919
Ga6 0.313 0.561 0.278
Ga7 0.334 0.960 0.579
Ga8 0.431 0.818 0.219
Ga9 0.439 0.687 0.722
Ga10 0.561 0.313 0.278
Ga11 0.569 0.182 0.781
Ga12 0.666 0.040 0.421
Ga13 0.687 0.439 0.722
Ga14 0.724 0.724 0.081
Ga15 0.818 0.431 0.219
Ga16 0.820 0.071 0.133
Ga17 0.929 0.180 0.867
Ga18 0.960 0.334 0.579
Rh1 0.000 0.000 0.500
Rh2 0.000 0.500 0.000
Rh3 0.500 0.000 0.000
Rh4 0.500 0.500 0.000


[4]
This record from Alexandria via LeMat-Bulk describes a geometry-optimized Pr6Dy3Sc structure. The functional is PBE-GGA.

Values from the calculation:
Formation enthalpy at 0 K, eV/atom: 0.138
Offset from the most stable computed form, meV per atom: 0
Crystal system: orthorhombic
Total energy, eV/atom: -4.743
Mass density, g/cm3: 6.727

Unit cell a=11.155 b=11.155 c=6.336 alpha=90.00 beta=90.00 gamma=120.38
Fractional positions:
Pr1 0.043 0.957 0.500
Pr2 0.057 0.479 0.943
Pr3 0.278 0.722 0.242
Pr4 0.291 0.376 0.132
Pr5 0.376 0.291 0.632
Pr6 0.479 0.057 0.443
Pr7 0.521 0.943 0.943
Pr8 0.624 0.709 0.132
Pr9 0.709 0.624 0.632
Pr10 0.722 0.278 0.742
Pr11 0.943 0.521 0.443
Pr12 0.957 0.043 0.000
Dy1 0.052 0.277 0.546
Dy2 0.277 0.052 0.046
Dy3 0.385 0.615 0.661
Dy4 0.615 0.385 0.161
Dy5 0.723 0.948 0.546
Dy6 0.948 0.723 0.046
Sc1 0.200 0.800 0.708
Sc2 0.800 0.200 0.208


[5]
This record from Alexandria via LeMat-Bulk describes a geometry-optimized Pr2Pd9Au structure. The functional is PBE-GGA.

Values from the calculation:
Formation enthalpy at 0 K, eV/atom: -0.392
Offset from the most stable computed form, meV per atom: 93
Crystal system: trigonal
Total energy, eV/atom: -5.356
Mass density, g/cm3: 10.517

Unit cell a=9.469 b=9.469 c=9.469 alpha=33.21 beta=33.21 gamma=33.21
Fractional positions:
Pr1 0.132 0.132 0.132
Pr2 0.868 0.868 0.868
Pd1 0.081 0.586 0.586
Pd2 0.333 0.333 0.333
Pd3 0.414 0.414 0.919
Pd4 0.414 0.919 0.414
Pd5 0.500 0.500 0.500
Pd6 0.586 0.081 0.586
Pd7 0.586 0.586 0.081
Pd8 0.667 0.667 0.667
Pd9 0.919 0.414 0.414
Au1 0.000 0.000 0.000


[6]
This record from Alexandria via LeMat-Bulk describes a geometry-optimized BiAsIN2 structure. The functional is PBE-GGA.

Values from the calculation:
Offset from the most stable computed form, meV per atom: 231
E_form (uncorrected), eV per atom: 1.69
Crystal system: tetragonal
Total energy, eV/atom: -3.657
Mass density, g/cm3: 5.183

Unit cell a=4.351 b=4.351 c=7.426 alpha=90.00 beta=90.00 gamma=90.00
Fractional positions:
Bi1 0.000 0.000 0.000
As1 0.500 0.500 0.500
I1 0.000 0.000 0.500
N1 0.000 0.500 0.000
N2 0.500 0.000 0.000


[7]
This record from Alexandria via LeMat-Bulk describes a geometry-optimized Sm2MnNi structure. The functional is PBE-GGA.

Values from the calculation:
Formation enthalpy at 0 K, eV/atom: 0.004
Crystal system: tetragonal
Total energy, eV/atom: -6.093
Mass density, g/cm3: 7.858

Unit cell a=3.504 b=3.504 c=7.130 alpha=90.00 beta=90.00 gamma=90.00
Fractional positions:
Sm1 0.000 0.000 0.236
Sm2 0.000 0.000 0.764
Mn1 0.500 0.500 0.500
Ni1 0.500 0.500 0.000


[8]
This record from Alexandria via LeMat-Bulk describes a geometry-optimized ZrGeP2Cl structure. The functional is PBE-GGA.

Values from the calculation:
Offset from the most stable computed form, meV per atom: 304
E_form (uncorrected), eV per atom: 0.35
Crystal system: tetragonal
Total energy, eV/atom: -4.815
Mass density, g/cm3: 4.210

Unit cell a=4.718 b=4.718 c=4.629 alpha=90.00 beta=90.00 gamma=90.00
Fractional positions:
Zr1 0.000 0.000 0.000
Ge1 0.500 0.500 0.500
P1 0.000 0.500 0.500
P2 0.500 0.000 0.500
Cl1 0.500 0.500 0.000


[9]
This record from Alexandria via LeMat-Bulk describes a geometry-optimized Pr5TePt2 structure. The functional is PBE-GGA.

Values from the calculation:
E_form (uncorrected), eV per atom: -0.92
Crystal system: tetragonal
Total energy, eV/atom: -5.806
Mass density, g/cm3: 8.688

Unit cell a=9.072 b=9.072 c=9.072 alpha=126.44 beta=126.44 gamma=79.16
Fractional positions:
Pr1 0.000 0.000 0.000
Pr2 0.018 0.518 0.811
Pr3 0.207 0.018 0.500
Pr4 0.293 0.793 0.811
Pr5 0.482 0.293 0.500
Pr6 0.500 0.500 0.000
Pr7 0.518 0.707 0.500
Pr8 0.707 0.207 0.189
Pr9 0.793 0.982 0.500
Pr10 0.982 0.482 0.189
Te1 0.250 0.250 0.000
Te2 0.750 0.750 0.000
Pt1 0.139 0.361 0.500
Pt2 0.361 0.861 0.222
Pt3 0.639 0.139 0.778
Pt4 0.861 0.639 0.500


[10]
This record from Alexandria via LeMat-Bulk describes a geometry-optimized Co5CuNi8 structure. The functional is PBE-GGA.

Values from the calculation:
Formation enthalpy at 0 K, eV/atom: 0.289
Crystal system: tetragonal
Total energy, eV/atom: -5.845
Mass density, g/cm3: 8.367

Unit cell a=5.980 b=5.980 c=5.980 alpha=111.11 beta=111.11 gamma=106.24
Fractional positions:
Co1 0.000 0.000 0.000
Co2 0.027 0.212 0.585
Co3 0.558 0.973 0.185
Co4 0.627 0.442 0.415
Co5 0.788 0.373 0.815
Cu1 0.250 0.750 0.500
Ni1 0.106 0.679 0.786
Ni2 0.280 0.510 0.094
Ni3 0.321 0.107 0.427
Ni4 0.416 0.186 0.906
Ni5 0.490 0.584 0.770
Ni6 0.680 0.894 0.573
Ni7 0.814 0.720 0.230
Ni8 0.893 0.320 0.214


[11]
This record from Alexandria via LeMat-Bulk describes a geometry-optimized Ir2OsPbW structure. The functional is PBE-GGA.

Values from the calculation:
Formation enthalpy at 0 K, eV/atom: 1.616
Crystal system: tetragonal
Total energy, eV/atom: -7.507
Mass density, g/cm3: 14.394

Unit cell a=4.847 b=4.847 c=4.742 alpha=90.00 beta=90.00 gamma=90.00
Fractional positions:
Ir1 0.000 0.500 0.000
Ir2 0.500 0.000 0.000
Os1 0.000 0.000 0.000
Pb1 0.500 0.500 0.500
W1 0.000 0.000 0.500


[12]
This record from Alexandria via LeMat-Bulk describes a geometry-optimized TcAsBr2 structure. The functional is PBE-GGA.

Values from the calculation:
Offset from the most stable computed form, meV per atom: 319
E_form (uncorrected), eV per atom: 0.29
Crystal system: orthorhombic
Total energy, eV/atom: -4.303
Mass density, g/cm3: 5.652

Unit cell a=3.163 b=4.898 c=12.617 alpha=90.00 beta=90.00 gamma=90.00
Fractional positions:
Tc1 0.000 0.000 0.000
Tc2 0.500 0.500 0.500
As1 0.000 0.500 0.649
As2 0.500 0.000 0.149
Br1 0.000 0.000 0.519
Br2 0.000 0.500 0.329
Br3 0.500 0.000 0.829
Br4 0.500 0.500 0.019


[13]
This record from Alexandria via LeMat-Bulk describes a geometry-optimized NaHf2Te structure. The functional is PBE-GGA.

Values from the calculation:
E_form (uncorrected), eV per atom: 0.42
Crystal system: tetragonal
Total energy, eV/atom: -5.675
Mass density, g/cm3: 8.258

Unit cell a=8.292 b=8.292 c=5.937 alpha=90.00 beta=90.00 gamma=90.00
Fractional positions:
Na1 0.000 0.000 0.000
Na2 0.000 0.500 0.250
Na3 0.500 0.000 0.750
Na4 0.500 0.500 0.500
Hf1 0.215 0.250 0.625
Hf2 0.250 0.715 0.875
Hf3 0.250 0.785 0.375
Hf4 0.285 0.250 0.125
Hf5 0.715 0.750 0.125
Hf6 0.750 0.215 0.375
Hf7 0.750 0.285 0.875
Hf8 0.785 0.750 0.625
Te1 0.000 0.000 0.500
Te2 0.000 0.500 0.750
Te3 0.500 0.000 0.250
Te4 0.500 0.500 0.000


[14]
This record from Alexandria via LeMat-Bulk describes a geometry-optimized Ac3BiAu structure. The functional is PBE-GGA.

Values from the calculation:
Formation enthalpy at 0 K, eV/atom: -0.365
Crystal system: cubic
Total energy, eV/atom: -4.262
Mass density, g/cm3: 8.296

Unit cell a=6.015 b=6.015 c=6.015 alpha=90.00 beta=90.00 gamma=90.00
Fractional positions:
Ac1 0.000 0.000 0.500
Ac2 0.000 0.500 0.000
Ac3 0.500 0.000 0.000
Bi1 0.500 0.500 0.500
Au1 0.000 0.000 0.000


[15]
This record from Alexandria via LeMat-Bulk describes a geometry-optimized CaLaTc2 structure. The functional is PBE-GGA.

Values from the calculation:
Formation enthalpy at 0 K, eV/atom: 0.551
Offset from the most stable computed form, meV per atom: 371
Crystal system: monoclinic
Total energy, eV/atom: -6.364
Mass density, g/cm3: 6.948

Unit cell a=3.149 b=4.574 c=6.331 alpha=90.00 beta=100.60 gamma=90.00
Fractional positions:
Ca1 0.000 0.000 0.000
La1 0.500 0.000 0.500
Tc1 0.290 0.500 0.680
Tc2 0.710 0.500 0.320


[16]
This record from Alexandria via LeMat-Bulk describes a geometry-optimized PrReN3 structure. The functional is PBE-GGA.

Values from the calculation:
E_form (uncorrected), eV per atom: -0.55
Crystal system: orthorhombic
Total energy, eV/atom: -8.992
Mass density, g/cm3: 8.171

Unit cell a=6.882 b=6.882 c=6.361 alpha=90.00 beta=90.00 gamma=150.13
Fractional positions:
Pr1 0.179 0.821 0.750
Pr2 0.821 0.179 0.250
Re1 0.428 0.572 0.750
Re2 0.572 0.428 0.250
N1 0.013 0.987 0.250
N2 0.342 0.658 0.527
N3 0.342 0.658 0.973
N4 0.658 0.342 0.027
N5 0.658 0.342 0.473
N6 0.987 0.013 0.750


[17]
This record from Alexandria via LeMat-Bulk describes a geometry-optimized Pm8ErCd2 structure. The functional is PBE-GGA.

Values from the calculation:
Formation enthalpy at 0 K, eV/atom: 0.016
Crystal system: monoclinic
Total energy, eV/atom: -4.021
Mass density, g/cm3: 7.112

Unit cell a=8.920 b=8.920 c=5.722 alpha=101.32 beta=101.32 gamma=120.05
Fractional positions:
Pm1 0.094 0.317 0.612
Pm2 0.219 0.781 0.000
Pm3 0.317 0.094 0.612
Pm4 0.401 0.401 0.202
Pm5 0.599 0.599 0.798
Pm6 0.683 0.906 0.388
Pm7 0.781 0.219 0.000
Pm8 0.906 0.683 0.388
Er1 0.000 0.000 0.000
Cd1 0.306 0.694 0.500
Cd2 0.694 0.306 0.500


[18]
This record from Alexandria via LeMat-Bulk describes a geometry-optimized LiMnCl5 structure. The functional is PBE-GGA.

Values from the calculation:
Offset from the most stable computed form, meV per atom: 0
E_form (uncorrected), eV per atom: -1.03
Crystal system: monoclinic
Total energy, eV/atom: -3.933
Mass density, g/cm3: 2.064

Unit cell a=7.759 b=7.759 c=8.876 alpha=107.46 beta=107.46 gamma=49.73
Fractional positions:
Li1 0.138 0.862 0.750
Li2 0.862 0.138 0.250
Mn1 0.500 0.500 0.000
Mn2 0.500 0.500 0.500
Cl1 0.149 0.614 0.496
Cl2 0.150 0.610 0.879
Cl3 0.356 0.644 0.250
Cl4 0.386 0.851 0.004
Cl5 0.390 0.850 0.621
Cl6 0.610 0.150 0.379
Cl7 0.614 0.149 0.996
Cl8 0.644 0.356 0.750
Cl9 0.850 0.390 0.121
Cl10 0.851 0.386 0.504


[19]
This record from Alexandria via LeMat-Bulk describes a geometry-optimized EuMgGaHg structure. The functional is PBE-GGA.

Values from the calculation:
Formation enthalpy at 0 K, eV/atom: -0.403
Crystal system: cubic
Total energy, eV/atom: -4.203
Mass density, g/cm3: 7.828

Unit cell a=7.236 b=7.236 c=7.236 alpha=90.00 beta=90.00 gamma=90.00
Fractional positions:
Eu1 0.000 0.000 0.000
Eu2 0.000 0.500 0.500
Eu3 0.500 0.000 0.500
Eu4 0.500 0.500 0.000
Mg1 0.000 0.000 0.500
Mg2 0.000 0.500 0.000
Mg3 0.500 0.000 0.000
Mg4 0.500 0.500 0.500
Ga1 0.250 0.250 0.750
Ga2 0.250 0.750 0.250
Ga3 0.750 0.250 0.250
Ga4 0.750 0.750 0.750
Hg1 0.250 0.250 0.250
Hg2 0.250 0.750 0.750
Hg3 0.750 0.250 0.750
Hg4 0.750 0.750 0.250


[20]
This record from Alexandria via LeMat-Bulk describes a geometry-optimized Tb3Pm3Y8 structure. The functional is PBE-GGA.

Values from the calculation:
Formation enthalpy at 0 K, eV/atom: 0.125
Offset from the most stable computed form, meV per atom: 11
Crystal system: orthorhombic
Total energy, eV/atom: -5.579
Mass density, g/cm3: 5.798

Unit cell a=9.734 b=9.734 c=9.734 alpha=146.05 beta=112.81 gamma=77.45
Fractional positions:
Tb1 0.000 0.000 0.000
Tb2 0.184 0.684 0.500
Tb3 0.816 0.316 0.500
Pm1 0.197 0.500 0.697
Pm2 0.500 0.500 0.000
Pm3 0.803 0.500 0.303
Y1 0.119 0.278 0.841
Y2 0.237 0.897 0.340
Y3 0.438 0.278 0.159
Y4 0.444 0.103 0.340
Y5 0.556 0.897 0.660
Y6 0.562 0.722 0.841
Y7 0.763 0.103 0.660
Y8 0.881 0.722 0.159


[21]
This record from Alexandria via LeMat-Bulk describes a geometry-optimized NaYCr2Te structure. The functional is PBE-GGA.

Values from the calculation:
E_form (uncorrected), eV per atom: 1.43
Crystal system: tetragonal
Total energy, eV/atom: -4.605
Mass density, g/cm3: 3.879

Unit cell a=5.071 b=5.071 c=5.718 alpha=90.00 beta=90.00 gamma=90.00
Fractional positions:
Na1 0.000 0.000 0.000
Y1 0.000 0.000 0.500
Cr1 0.000 0.500 0.500
Cr2 0.500 0.000 0.500
Te1 0.500 0.500 0.000